The following is a DFT calculation (PBE) of an optimized crystal structure of NaPO2.

Values from the calculation:
Its uncorrected formation energy is -669.7 meV per atom. The final energy comes out at -4.8311 eV per atom. As for the total magnetization: 0.00 μB/f.u. The calculation puts the volume at 13.80 A^3/atom.

```
NaPO2
1.0
-1.187 3.093 5.754
-2.040 0.104 6.318
1.002 0.939 6.496
P O Na
1 2 1
Direct
0.500 0.500 0.500 P
0.888 0.888 0.888 O
0.112 0.112 0.112 O
0.000 0.000 0.000 Na
```